Record 1
Entry from the Open Quantum Materials Database: an optimized crystal structure of DyYTl2Pt4 (PBE).

Cell: 4.644 4.644 8.968 Å, 90.00 90.00 120.00°
Positions (direct):
Dy 0.000 0.000 0.000
Y 0.333 0.667 0.500
Tl 0.667 0.333 0.250
Tl 0.667 0.333 0.750
Pt 0.000 0.000 0.344
Pt 0.000 0.000 0.656
Pt 0.333 0.667 0.155
Pt 0.333 0.667 0.845

Electronic total energy (eV/atom): -5.7477
Space-group type: P-6m2, No. 187
Volume (Å³/atom): 20.937

---

Record 2
Entry from the Open Quantum Materials Database: an optimized crystal structure of InFe2B (PBE).

Cell: 5.809 5.809 5.809 Å, 90.00 90.00 90.00°
Positions (direct):
In 0.000 0.000 0.000
In 0.000 0.000 0.500
In 0.000 0.500 0.000
In 0.500 0.000 0.000
Fe 0.293 0.293 0.293
Fe 0.293 0.293 0.707
Fe 0.293 0.707 0.293
Fe 0.293 0.707 0.707
Fe 0.707 0.293 0.293
Fe 0.707 0.293 0.707
Fe 0.707 0.707 0.293
Fe 0.707 0.707 0.707
B 0.000 0.500 0.500
B 0.500 0.000 0.500
B 0.500 0.500 0.000
B 0.500 0.500 0.500

Electronic total energy (eV/atom): -6.1683
Space-group type: Pm-3m, No. 221
Volume (Å³/atom): 12.253

---

Record 3
Entry from the Open Quantum Materials Database: an optimized crystal structure of DyCuGe (PBE).

Cell: 4.617 4.617 4.617 Å, 60.00 60.00 60.00°
Positions (direct):
Dy 0.000 0.000 0.000
Cu 0.750 0.750 0.750
Ge 0.250 0.250 0.250

Electronic total energy (eV/atom): -4.2345
Space-group type: F-43m, No. 216
Volume (Å³/atom): 23.190

---

Record 4
Entry from the Open Quantum Materials Database: an optimized crystal structure of Cs2InAgCl6 (PBE).

Cell: 7.484 7.484 7.484 Å, 119.97 119.97 60.04°
Positions (direct):
Cs 0.250 0.250 0.250
Cs 0.750 0.750 0.750
In 0.000 0.000 0.500
Ag 0.500 0.500 0.000
Cl 0.241 0.758 0.741
Cl 0.242 0.242 0.743
Cl 0.242 0.759 0.259
Cl 0.758 0.241 0.741
Cl 0.758 0.758 0.257
Cl 0.759 0.242 0.259

Space-group type: C2/m, No. 12
Relative energy among the computed polymorphs (meV/atom): 0
Volume (Å³/atom): 29.662

---

Record 5
Entry from the Open Quantum Materials Database: an optimized crystal structure of YSiTcNi (PBE).

Cell: 4.448 4.448 4.448 Å, 60.00 60.00 60.00°
Positions (direct):
Y 0.000 0.000 0.000
Si 0.500 0.500 0.500
Tc 0.250 0.250 0.250
Ni 0.750 0.750 0.750

Electronic total energy (eV/atom): -7.1220
Space-group type: F-43m, No. 216
Volume (Å³/atom): 15.556

---

Record 6
Entry from the Open Quantum Materials Database: an optimized crystal structure of Hf2InC (PBE).

Cell: 3.323 3.323 14.872 Å, 90.00 90.00 120.00°
Positions (direct):
Hf 0.333 0.667 0.082
Hf 0.333 0.667 0.418
Hf 0.667 0.333 0.582
Hf 0.667 0.333 0.918
In 0.333 0.667 0.750
In 0.667 0.333 0.250
C 0.000 0.000 0.000
C 0.000 0.000 0.500

Electronic total energy (eV/atom): -8.6822
Space-group type: P6_3/mmc, No. 194
Volume (Å³/atom): 17.782

---

Record 7
Entry from the Open Quantum Materials Database: an optimized crystal structure of LuFeSiHg (PBE).

Cell: 4.694 4.694 4.694 Å, 60.00 60.00 60.00°
Positions (direct):
Lu 0.000 0.000 0.000
Fe 0.500 0.500 0.500
Si 0.250 0.250 0.250
Hg 0.750 0.750 0.750

Space-group type: F-43m, No. 216
Relative energy among the computed polymorphs (meV/atom): 0
Volume (Å³/atom): 18.282

---

Record 8
Entry from the Open Quantum Materials Database: an optimized crystal structure of BaTaSn (PBE).

Cell: 5.361 5.361 5.361 Å, 60.00 60.00 60.00°
Positions (direct):
Ba 0.000 0.000 0.000
Ta 0.250 0.250 0.250
Sn 0.750 0.750 0.750

Space-group type: F-43m, No. 216
Relative energy among the computed polymorphs (meV/atom): 722
Volume (Å³/atom): 36.313

---

Record 9
Entry from the Open Quantum Materials Database: an optimized crystal structure of LiRe2Sn (PBE).

Cell: 4.418 4.418 4.418 Å, 60.00 60.00 60.00°
Positions (direct):
Li 0.000 0.000 0.000
Re 0.250 0.250 0.250
Re 0.500 0.500 0.500
Sn 0.750 0.750 0.750

Electronic total energy (eV/atom): -7.5397
Space-group type: F-43m, No. 216
Volume (Å³/atom): 15.246

---

Record 10
Entry from the Open Quantum Materials Database: an optimized crystal structure of Be4TlAu2 (PBE).

Cell: 5.936 5.936 2.901 Å, 90.00 90.00 103.99°
Positions (direct):
Be 0.138 0.862 0.000
Be 0.150 0.150 0.500
Be 0.850 0.850 0.500
Be 0.862 0.138 0.000
Tl 0.500 0.500 0.000
Au 0.000 0.500 0.500
Au 0.500 0.000 0.500

Electronic total energy (eV/atom): -3.2992
Space-group type: Cmmm, No. 65
Volume (Å³/atom): 14.169

---

Record 11
Entry from the Open Quantum Materials Database: an optimized crystal structure of Li4MgNiSn2 (PBE).

Cell: 4.488 4.488 6.624 Å, 90.00 90.00 90.00°
Positions (direct):
Li 0.000 0.000 0.000
Li 0.000 0.500 0.219
Li 0.500 0.000 0.781
Li 0.500 0.500 0.500
Mg 0.000 0.000 0.500
Ni 0.500 0.500 0.000
Sn 0.000 0.500 0.778
Sn 0.500 0.000 0.222

Electronic total energy (eV/atom): -3.1806
Space-group type: P-4m2, No. 115
Volume (Å³/atom): 16.677

---

Record 12
Entry from the Open Quantum Materials Database: an optimized crystal structure of LaCuSb2 (PBE).

Cell: 4.400 4.400 10.345 Å, 90.00 90.00 90.00°
Positions (direct):
La 0.250 0.250 0.249
La 0.750 0.750 0.751
Cu 0.250 0.750 0.000
Cu 0.750 0.250 0.000
Sb 0.250 0.250 0.852
Sb 0.250 0.750 0.500
Sb 0.750 0.250 0.500
Sb 0.750 0.750 0.148

Electronic total energy (eV/atom): -4.9611
Space-group type: P4/nmm, No. 129
Volume (Å³/atom): 25.040